(1)
## Ba2ZnGe3Au4 (GGA-PBE)

Data for a relaxed structure of Ba2ZnGe3Au4.

## Properties
formation energy from the elements: -507.7 meV per atom
VASP energy: -3.72 eV per atom

The structure in CIF format:
```
data_Ba2ZnGe3Au4
_space_group_name_H-M_alt 'P -4 m 2'
_space_group_IT_number 115
_cell_length_a 4.716
_cell_length_b 4.716
_cell_length_c 10.544
_cell_angle_alpha 90.00
_cell_angle_beta 90.00
_cell_angle_gamma 90.00
loop_
_space_group_symop_operation_xyz
'x,y,z'
'y,-x,-z'
'-x,-y,z'
'-y,x,-z'
'-x,y,z'
'-y,-x,-z'
'x,-y,z'
'y,x,-z'
loop_
_atom_site_label
_atom_site_type_symbol
_atom_site_fract_x
_atom_site_fract_y
_atom_site_fract_z
_atom_site_occupancy
Ba1 Ba 0.000 0.500 0.249 1
Zn1 Zn 0.000 0.000 0.500 1
Ge1 Ge 0.000 0.500 0.874 1
Ge2 Ge 0.500 0.500 0.500 1
Au1 Au 0.000 0.000 0.000 1
Au2 Au 0.000 0.500 0.621 1
Au3 Au 0.500 0.500 0.000 1
```

(2)
## Ba2Zn3Ge4Au (GGA-PBE)

Data for a relaxed structure of Ba2Zn3Ge4Au.

## Properties
formation energy from the elements: -397.2 meV per atom
VASP energy: -3.34 eV per atom

The structure in CIF format:
```
data_Ba2Zn3Ge4Au
_space_group_name_H-M_alt 'P -4 m 2'
_space_group_IT_number 115
_cell_length_a 4.575
_cell_length_b 4.575
_cell_length_c 10.791
_cell_angle_alpha 90.00
_cell_angle_beta 90.00
_cell_angle_gamma 90.00
loop_
_space_group_symop_operation_xyz
'x,y,z'
'y,-x,-z'
'-x,-y,z'
'-y,x,-z'
'-x,y,z'
'-y,-x,-z'
'x,-y,z'
'y,x,-z'
loop_
_atom_site_label
_atom_site_type_symbol
_atom_site_fract_x
_atom_site_fract_y
_atom_site_fract_z
_atom_site_occupancy
Ba1 Ba 0.000 0.500 0.248 1
Zn1 Zn 0.000 0.000 0.000 1
Zn2 Zn 0.000 0.500 0.629 1
Ge1 Ge 0.000 0.000 0.500 1
Ge2 Ge 0.000 0.500 0.871 1
Ge3 Ge 0.500 0.500 0.500 1
Au1 Au 0.500 0.500 0.000 1
```